[1]
Here is an optimized crystal structure of TlSn3Pb5 from Alexandria. Energies are from PBE-GGA.

## Properties
SG = P6_3/mcm (193)
energy of formation from the pure elements = 0.04 eV/atom

Cell: 9.634 9.634 6.799 Å, 90.00 90.00 120.00°
Sites, in units of the cell vectors:
Tl 0.000 0.000 0.000
Tl 0.000 0.000 0.500
Sn 0.000 0.343 0.250
Sn 0.000 0.657 0.750
Sn 0.343 0.000 0.250
Sn 0.343 0.343 0.750
Sn 0.657 0.000 0.750
Sn 0.657 0.657 0.250
Pb 0.000 0.330 0.750
Pb 0.000 0.670 0.250
Pb 0.330 0.000 0.750
Pb 0.330 0.330 0.250
Pb 0.333 0.667 0.000
Pb 0.333 0.667 0.500
Pb 0.667 0.333 0.000
Pb 0.667 0.333 0.500
Pb 0.670 0.000 0.250
Pb 0.670 0.670 0.750

=====

[2]
Here is an optimized crystal structure of Tl2SnPb9 from Alexandria. Energies are from PBE-GGA.

## Properties
SG = P4/mmm (123)
energy of formation from the pure elements = 0.04 eV/atom

Cell: 6.050 6.050 10.305 Å, 90.00 90.00 90.00°
Sites, in units of the cell vectors:
Tl 0.000 0.000 0.170
Tl 0.000 0.000 0.830
Sn 0.000 0.000 0.500
Pb 0.000 0.500 0.000
Pb 0.000 0.500 0.338
Pb 0.000 0.500 0.662
Pb 0.500 0.000 0.000
Pb 0.500 0.000 0.338
Pb 0.500 0.000 0.662
Pb 0.500 0.500 0.169
Pb 0.500 0.500 0.500
Pb 0.500 0.500 0.831

=====

[3]
Here is an optimized crystal structure of TlSnPb from Alexandria. Energies are from PBE-GGA.

## Properties
SG = P3m1 (156)
energy of formation from the pure elements = 0.02 eV/atom

Cell: 3.449 3.449 8.811 Å, 90.00 90.00 120.00°
Sites, in units of the cell vectors:
Tl 0.000 0.000 0.000
Sn 0.667 0.333 0.329
Pb 0.333 0.667 0.648

=====

[4]
Here is an optimized crystal structure of Tl5Sn2Pb5 from Alexandria. Energies are from PBE-GGA.

## Properties
SG = C2/m (12)
energy of formation from the pure elements = 0.03 eV/atom

Cell: 6.137 6.137 12.227 Å, 105.08 105.08 56.94°
Sites, in units of the cell vectors:
Tl 0.000 0.000 0.000
Tl 0.082 0.082 0.753
Tl 0.170 0.170 0.508
Tl 0.830 0.830 0.492
Tl 0.918 0.918 0.247
Sn 0.414 0.414 0.753
Sn 0.586 0.586 0.247
Pb 0.247 0.247 0.255
Pb 0.337 0.337 0.008
Pb 0.500 0.500 0.500
Pb 0.663 0.663 0.992
Pb 0.753 0.753 0.745

=====

[5]
Here is an optimized crystal structure of Tl6SnPb from Alexandria. Energies are from PBE-GGA.

## Properties
SG = P4/mmm (123)
energy of formation from the pure elements = 0.02 eV/atom

Cell: 4.955 4.955 9.887 Å, 90.00 90.00 90.00°
Sites, in units of the cell vectors:
Tl 0.000 0.000 0.000
Tl 0.000 0.000 0.500
Tl 0.000 0.500 0.246
Tl 0.000 0.500 0.754
Tl 0.500 0.000 0.246
Tl 0.500 0.000 0.754
Sn 0.500 0.500 0.000
Pb 0.500 0.500 0.500

=====

[6]
Here is an optimized crystal structure of TlSnPb from Alexandria. Energies are from PBE-GGA.

## Properties
SG = Cmce (64)
energy of formation from the pure elements = 0.07 eV/atom

Cell: 6.428 6.428 9.791 Å, 90.00 90.00 116.52°
Sites, in units of the cell vectors:
Tl 0.127 0.873 0.909
Tl 0.373 0.627 0.409
Tl 0.627 0.373 0.591
Tl 0.873 0.127 0.091
Sn 0.122 0.878 0.577
Sn 0.378 0.622 0.077
Sn 0.622 0.378 0.923
Sn 0.878 0.122 0.423
Pb 0.129 0.371 0.750
Pb 0.371 0.129 0.250
Pb 0.629 0.871 0.750
Pb 0.871 0.629 0.250